No. 1
VASP calculation (PBE-GGA) on an optimized crystal structure of NdBeO2.

CIF file:
```
data_NdBeO2
_cell_length_a 3.1088
_cell_length_b 3.1088
_cell_length_c 18.6260
_cell_angle_alpha 90.00
_cell_angle_beta 90.00
_cell_angle_gamma 120.00
_symmetry_space_group_name_H-M 'R -3 m'
_symmetry_Int_Tables_number 166
_symmetry_space_group_name_Hall '-R 3 2"'
loop_
_atom_site_label
_atom_site_fract_x
_atom_site_fract_y
_atom_site_fract_z
_atom_site_occupancy
Nd1 0.0000 0.0000 0.0000 1
Be1 0.0000 0.0000 0.5000 1
O1 0.0000 0.0000 0.1186 1
```

Values from the calculation:
- Crystal system: trigonal
- Uncorrected formation energy: -126 kJ/mol of atoms
- M_tot: 0.3 μB/f.u.


No. 2
VASP calculation (PBE-GGA) on an optimized crystal structure of NdBeP2O8.

CIF file:
```
data_NdBeP2O8
_cell_length_a 5.0005
_cell_length_b 5.0005
_cell_length_c 6.4573
_cell_angle_alpha 90.00
_cell_angle_beta 90.00
_cell_angle_gamma 120.00
_symmetry_space_group_name_H-M 'P -3 m 1'
_symmetry_Int_Tables_number 164
_symmetry_space_group_name_Hall '-P 3 2"'
loop_
_atom_site_label
_atom_site_fract_x
_atom_site_fract_y
_atom_site_fract_z
_atom_site_occupancy
Nd1 0.0000 0.0000 0.0000 1
Be1 0.0000 0.0000 0.5000 1
P1 0.3333 0.6667 0.7476 1
O1 0.1639 0.3278 0.6763 1
O2 0.3333 0.6667 0.9884 1
```

Values from the calculation:
- Crystal system: trigonal
- Uncorrected formation energy: -230 kJ/mol of atoms
- M_tot: 0.0 μB/f.u.


No. 3
VASP calculation (PBE-GGA) on an optimized crystal structure of NdBe4Pd3O12.

CIF file:
```
data_NdBe4Pd3O12
_cell_length_a 10.0600
_cell_length_b 10.0600
_cell_length_c 7.4985
_cell_angle_alpha 90.00
_cell_angle_beta 90.00
_cell_angle_gamma 120.00
_symmetry_space_group_name_H-M 'R 3 2'
_symmetry_Int_Tables_number 155
_symmetry_space_group_name_Hall 'R 3 2"'
loop_
_atom_site_label
_atom_site_fract_x
_atom_site_fract_y
_atom_site_fract_z
_atom_site_occupancy
Nd1 0.0000 0.0000 0.0000 1
Be1 0.0000 0.0000 0.5000 1
Be2 0.0000 0.4280 0.5000 1
Pd1 0.0000 0.5651 0.0000 1
O1 0.0000 0.5841 0.5000 1
O2 0.0000 0.8458 0.5000 1
O3 0.0464 0.2190 0.1798 1
```

Values from the calculation:
- Crystal system: trigonal
- Uncorrected formation energy: -145 kJ/mol of atoms
- M_tot: 0.0 μB/f.u.


What is the formula in the first record? NdBeO2